Computed, not measured: crystalline Dy4SbTe2S at its relaxed geometry at the PBE level of DFT.

Geometry as CIF:
```
data_Dy4SbTe2S
_cell_length_a 8.4145
_cell_length_b 8.6233
_cell_length_c 12.0763
_cell_angle_alpha 90.00
_cell_angle_beta 90.00
_cell_angle_gamma 90.00
_space_group_name_H-M_alt 'I m m a'
_space_group_IT_number 74
_space_group_name_Hall '-I 2b 2'
loop_
_atom_site_label
_atom_site_type_symbol
_atom_site_fract_x
_atom_site_fract_y
_atom_site_fract_z
Dy1 Dy 0.0000 0.0331 0.2477
Dy2 Dy 0.2448 0.2500 0.0194
Sb1 Sb 0.0000 0.0000 0.0000
Te1 Te 0.0000 0.0000 0.5000
Te2 Te 0.2500 0.2500 0.7500
S1 S 0.2500 0.2500 0.2500
```

Calculated values
Formation energy (no corrections) (eV per atom): -1.4240
D(E_F) (states/eV/f.u.): 3.66